# AcSmTe2O, relaxed, DFT PBE-GGA
data_AcSmTe2O
_chemical_formula_sum 'Ac2 Sm2 Te4 O2'
_cell_length_a 4.3806
_cell_length_b 4.3806
_cell_length_c 16.0663
_cell_angle_alpha 90.00
_cell_angle_beta 90.00
_cell_angle_gamma 90.00
_space_group_name_H-M_alt 'P 4/n m m'
_space_group_IT_number 129
loop_
_space_group_symop_operation_xyz
'x,y,z'
'-x,-y,-z'
'-y+1/2,x,z'
'y+1/2,-x,-z'
'-x+1/2,-y+1/2,z'
'x+1/2,y+1/2,-z'
'y,-x+1/2,z'
'-y,x+1/2,-z'
'x+1/2,-y,-z'
'-x+1/2,y,z'
'-y,-x,-z'
'y,x,z'
'-x,y+1/2,-z'
'x,-y+1/2,z'
'y+1/2,x+1/2,-z'
'-y+1/2,-x+1/2,z'
loop_
_atom_site_label
_atom_site_type_symbol
_atom_site_fract_x
_atom_site_fract_y
_atom_site_fract_z
Ac1 Ac 0.2500 0.2500 0.0760
Sm1 Sm 0.2500 0.2500 0.6243
Te1 Te 0.2500 0.2500 0.4127
Te2 Te 0.2500 0.2500 0.8053
O1 O 0.2500 0.7500 0.0000
# Total moment in μB/f.u.: 0.000
# Raw formation energy in eV/atom: -2.1412
# N(E_F) in states/eV/cell: 2.99

=====

# AcSmTeO6, relaxed, DFT PBE-GGA
data_AcSmTeO6
_chemical_formula_sum 'Ac2 Sm2 Te2 O12'
_cell_length_a 5.7492
_cell_length_b 5.7492
_cell_length_c 10.2800
_cell_angle_alpha 90.00
_cell_angle_beta 90.00
_cell_angle_gamma 120.00
_space_group_name_H-M_alt 'P -3 1 c'
_space_group_IT_number 163
_space_group_name_Hall '-P 3 2c'
loop_
_atom_site_label
_atom_site_type_symbol
_atom_site_fract_x
_atom_site_fract_y
_atom_site_fract_z
Ac1 Ac 0.0000 0.0000 0.0000
Sm1 Sm 0.3333 0.6667 0.2500
Te1 Te 0.3333 0.6667 0.7500
O1 O 0.0493 0.3875 0.6420
# Total moment in μB/f.u.: 0.000
# Raw formation energy in eV/atom: -2.4358
# N(E_F) in states/eV/cell: 0.00

=====

# AcSm2TiO6, relaxed, DFT PBE-GGA
data_AcSm2TiO6
_chemical_formula_sum 'Ac1 Sm2 Ti1 O6'
_cell_length_a 5.4832
_cell_length_b 5.4832
_cell_length_c 5.6523
_cell_angle_alpha 90.00
_cell_angle_beta 90.00
_cell_angle_gamma 90.00
_space_group_name_H-M_alt 'P 4 m m'
_space_group_IT_number 99
_space_group_name_Hall 'P 4 -2'
loop_
_atom_site_label
_atom_site_type_symbol
_atom_site_fract_x
_atom_site_fract_y
_atom_site_fract_z
Ac1 Ac 0.0000 0.0000 0.0000
Sm1 Sm 0.0000 0.5000 0.4513
Ti1 Ti 0.5000 0.5000 0.0818
O1 O 0.0000 0.0000 0.5858
O2 O 0.2684 0.2684 0.2285
O3 O 0.5000 0.5000 0.7600
# Total moment in μB/f.u.: 0.708
# Raw formation energy in eV/atom: -3.0211
# N(E_F) in states/eV/cell: 3.45

=====

# Ac2SmTiO6, relaxed, DFT PBE-GGA
data_Ac2SmTiO6
_chemical_formula_sum 'Ac2 Sm1 Ti1 O6'
_cell_length_a 4.3251
_cell_length_b 4.3251
_cell_length_c 8.3125
_cell_angle_alpha 90.00
_cell_angle_beta 90.00
_cell_angle_gamma 90.00
_space_group_name_H-M_alt 'P 4/m m m'
_space_group_IT_number 123
_space_group_name_Hall '-P 4 2'
loop_
_atom_site_label
_atom_site_type_symbol
_atom_site_fract_x
_atom_site_fract_y
_atom_site_fract_z
Ac1 Ac 0.0000 0.0000 0.2307
Sm1 Sm 0.5000 0.5000 0.5000
Ti1 Ti 0.5000 0.5000 0.0000
O1 O 0.0000 0.5000 0.0000
O2 O 0.0000 0.5000 0.5000
O3 O 0.5000 0.5000 0.2271
# Total moment in μB/f.u.: 0.373
# Raw formation energy in eV/atom: -2.9641
# N(E_F) in states/eV/cell: 2.54

=====

# Ac3SmTl2O, relaxed, DFT PBE-GGA
data_Ac3SmTl2O
_chemical_formula_sum 'Ac6 Sm2 Tl4 O2'
_cell_length_a 4.9452
_cell_length_b 5.0808
_cell_length_c 17.9183
_cell_angle_alpha 90.00
_cell_angle_beta 90.00
_cell_angle_gamma 90.00
_space_group_name_H-M_alt 'I m m m'
_space_group_IT_number 71
_space_group_name_Hall '-I 2 2'
loop_
_atom_site_label
_atom_site_type_symbol
_atom_site_fract_x
_atom_site_fract_y
_atom_site_fract_z
Ac1 Ac 0.0000 0.0000 0.0000
Ac2 Ac 0.0000 0.5000 0.1747
Sm1 Sm 0.0000 0.0000 0.5000
Tl1 Tl 0.0000 0.5000 0.3645
O1 O 0.0000 0.5000 0.0000
# Total moment in μB/f.u.: 0.000
# Raw formation energy in eV/atom: -0.9927
# N(E_F) in states/eV/cell: 6.91

=====

# Ac2Sm4Tl3O2, relaxed, DFT PBE-GGA
data_Ac2Sm4Tl3O2
_chemical_formula_sum 'Ac4 Sm8 Tl6 O4'
_cell_length_a 4.9038
_cell_length_b 4.9038
_cell_length_c 26.1538
_cell_angle_alpha 90.00
_cell_angle_beta 90.00
_cell_angle_gamma 90.00
_space_group_name_H-M_alt 'I 4/m m m'
_space_group_IT_number 139
_space_group_name_Hall '-I 4 2'
loop_
_atom_site_label
_atom_site_type_symbol
_atom_site_fract_x
_atom_site_fract_y
_atom_site_fract_z
Ac1 Ac 0.0000 0.0000 0.1954
Sm1 Sm 0.0000 0.5000 0.0811
Tl1 Tl 0.0000 0.0000 0.3310
Tl2 Tl 0.0000 0.0000 0.5000
O1 O 0.0000 0.0000 0.0967
# Total moment in μB/f.u.: 0.000
# Raw formation energy in eV/atom: -1.2279
# N(E_F) in states/eV/cell: 15.18

=====

# Ac2SmUO8, relaxed, DFT PBE-GGA
data_Ac2SmUO8
_chemical_formula_sum 'Ac2 Sm1 U1 O8'
_cell_length_a 4.0392
_cell_length_b 5.7518
_cell_length_c 7.8283
_cell_angle_alpha 90.00
_cell_angle_beta 90.00
_cell_angle_gamma 90.00
_space_group_name_H-M_alt 'P m m m'
_space_group_IT_number 47
_space_group_name_Hall '-P 2 2'
loop_
_atom_site_label
_atom_site_type_symbol
_atom_site_fract_x
_atom_site_fract_y
_atom_site_fract_z
Ac1 Ac 0.0000 0.0000 0.2471
Sm1 Sm 0.5000 0.5000 0.5000
U1 U 0.5000 0.5000 0.0000
O1 O 0.0000 0.2617 0.5000
O2 O 0.0000 0.2883 0.0000
O3 O 0.5000 0.2753 0.2188
# Total moment in μB/f.u.: 0.837
# Raw formation energy in eV/atom: -3.1729
# N(E_F) in states/eV/cell: 7.84

=====

# AcSmU2O8, relaxed, DFT PBE-GGA
data_AcSmU2O8
_chemical_formula_sum 'Ac2 Sm2 U4 O16'
_cell_length_a 7.6195
_cell_length_b 7.6195
_cell_length_c 7.4750
_cell_angle_alpha 90.00
_cell_angle_beta 90.00
_cell_angle_gamma 90.00
_space_group_name_H-M_alt 'I -4 m 2'
_space_group_IT_number 119
_space_group_name_Hall 'I -4 -2'
loop_
_atom_site_label
_atom_site_type_symbol
_atom_site_fract_x
_atom_site_fract_y
_atom_site_fract_z
Ac1 Ac 0.0000 0.0000 0.0000
Sm1 Sm 0.0000 0.5000 0.7500
U1 U 0.0000 0.0000 0.5000
U2 U 0.0000 0.5000 0.2500
O1 O 0.0000 0.1880 0.6925
O2 O 0.0000 0.3261 0.0461
# Total moment in μB/f.u.: 1.990
# Raw formation energy in eV/atom: -3.0805
# N(E_F) in states/eV/cell: 20.26